1.
A plane-wave DFT calculation with GGA-PBE was carried out for a relaxed Ho2Er5Sc2 crystal.

a = 17.4002 Å, b = 3.4170 Å, c = 9.3116 Å
α = 90.00°, β = 104.44°, γ = 90.00°
Space group C2/m (No. 12)
Inequivalent atoms, fractional coordinates:
Ho1 0.1474 0.0000 0.0289 (multiplicity 4)
Er1 0.0000 0.0000 0.5000 (multiplicity 2)
Er2 0.1581 0.5000 0.7130 (multiplicity 4)
Er3 0.1685 0.0000 0.3990 (multiplicity 4)
Sc1 0.0122 0.5000 0.1775 (multiplicity 4)

Calculated values
calculated volume	536.1	Å³ per cell
N(E_F)	29.73	states/eV/cell
electronic total energy	-4.85	eV per atom

=====

2.
A plane-wave DFT calculation with GGA-PBE was carried out for a relaxed Ho8ErSc4 crystal.

a = 6.9611 Å, b = 6.9611 Å, c = 27.3992 Å
α = 90.00°, β = 90.00°, γ = 120.00°
Space group R-3m (No. 166, hexagonal axes)
Inequivalent atoms, fractional coordinates:
Ho1 0.0000 0.0000 0.2127 (multiplicity 6)
Ho2 0.0259 0.5129 0.7608 (multiplicity 18)
Er1 0.0000 0.0000 0.5000 (multiplicity 3)
Sc1 0.0000 0.0000 0.0000 (multiplicity 3)
Sc2 0.0000 0.5000 0.0000 (multiplicity 9)

Calculated values
calculated volume	1149.8	Å³ per cell
N(E_F)	50.71	states/eV/cell
electronic total energy	-4.85	eV per atom

=====

3.
A plane-wave DFT calculation with GGA-PBE was carried out for a relaxed HoEr10Sc2 crystal.

a = 6.4084 Å, b = 15.0836 Å, c = 16.9320 Å
α = 90.00°, β = 90.00°, γ = 90.00°
Space group Fmmm (No. 69)
Inequivalent atoms, fractional coordinates:
Ho1 0.0000 0.0000 0.0000 (multiplicity 4)
Er1 0.0000 0.1052 0.4013 (multiplicity 16)
Er2 0.0000 0.1804 0.1610 (multiplicity 16)
Er3 0.2500 0.0000 0.2500 (multiplicity 8)
Sc1 0.2500 0.2500 0.0000 (multiplicity 8)

Calculated values
calculated volume	1636.7	Å³ per cell
N(E_F)	107.17	states/eV/cell
electronic total energy	-4.57	eV per atom

=====

no.,DFT formation energy (meV per atom)
1,106
2,264
3,262